Record 1
Cs2Mn3Br9 | GGA-PBE | relaxed

a = 12.513 Å, b = 18.180 Å, c = 11.327 Å
α = 90.00°, β = 120.06°, γ = 90.00°
Space group C2/m (No. 12)
Symmetry-distinct sites (fractional):
Cs 0.076 0.159 0.297
Mn 0.135 0.500 0.834
Mn 0.175 0.382 0.189
Br 0.000 0.300 0.000
Br 0.036 0.401 0.291
Br 0.182 0.214 0.655
Br 0.203 0.000 0.683
Br 0.243 0.100 0.977
Br 0.247 0.000 0.285

Results
D(E_F) = 32.839 states/eV/cell

=====

Record 2
CsMnBr2 | GGA-PBE | relaxed

a = 8.237 Å, b = 8.237 Å, c = 8.237 Å
α = 90.00°, β = 90.00°, γ = 90.00°
Space group Fm-3m (No. 225)
Symmetry-distinct sites (fractional):
Cs 0.000 0.000 0.000
Mn 0.000 0.000 0.500
Br 0.250 0.250 0.250

Results
Excess energy over the best structure of this formula in the dataset = 82 meV per atom
D(E_F) = 0.000 states/eV/cell

=====

Record 3
CsMnBr2 | GGA-PBE | relaxed

a = 4.1948 Å, b = 4.1948 Å, c = 29.7367 Å
α = 90.00°, β = 90.00°, γ = 120.00°
Space group R-3m (No. 166, hexagonal axes)
Symmetry-distinct sites (fractional):
Cs 0.0000 0.0000 0.0000
Mn 0.0000 0.0000 0.5000
Br 0.0000 0.0000 0.1192

Results
Excess energy over the best structure of this formula in the dataset = 0 meV per atom
D(E_F) = 10.576 states/eV/cell

=====

Record 4
CsMnBr4 | GGA-PBE | relaxed

a = 17.290 Å, b = 7.478 Å, c = 6.982 Å
α = 90.00°, β = 109.76°, γ = 90.00°
Space group C2/c (No. 15)
Symmetry-distinct sites (fractional):
Cs 0.000 0.231 0.250
Mn 0.250 0.250 0.000
Br 0.105 0.322 0.835
Br 0.213 0.083 0.260

Results
Excess energy over the best structure of this formula in the dataset = 0 meV per atom

=====

Record 5
Cs2MnBr5 | GGA-PBE | relaxed

a = 7.915 Å, b = 7.915 Å, c = 10.525 Å
α = 90.00°, β = 90.00°, γ = 90.00°
Space group I4mm (No. 107)
Symmetry-distinct sites (fractional):
Cs 0.000 0.500 0.000
Mn 0.000 0.000 0.286
Br 0.000 0.000 0.525
Br 0.218 0.218 0.246

=====

Record 6
CsMn4Br12 | GGA-PBE | relaxed

a = 9.959 Å, b = 9.959 Å, c = 9.959 Å
α = 90.00°, β = 90.00°, γ = 90.00°
Space group Im-3 (No. 204)
Symmetry-distinct sites (fractional):
Cs 0.000 0.000 0.000
Mn 0.250 0.250 0.250
Br 0.000 0.196 0.304

Results
D(E_F) = 10.329 states/eV/cell

=====

Record 7
CsMn2Br | GGA-PBE | relaxed

a = 7.450 Å, b = 7.450 Å, c = 7.450 Å
α = 90.00°, β = 90.00°, γ = 90.00°
Space group Fm-3m (No. 225)
Symmetry-distinct sites (fractional):
Cs 0.000 0.000 0.000
Mn 0.250 0.250 0.250
Br 0.000 0.000 0.500

Results
D(E_F) = 17.781 states/eV/cell

=====

Record 8
Cs2MnBr4 | GGA-PBE | relaxed

a = 7.775 Å, b = 7.865 Å, c = 10.421 Å
α = 90.00°, β = 109.23°, γ = 90.00°
Space group P2_1/m (No. 11)
Symmetry-distinct sites (fractional):
Cs 0.198 0.250 0.418
Cs 0.296 0.250 0.961
Mn 0.299 0.750 0.216
Br 0.087 0.750 0.352
Br 0.143 0.750 0.963
Br 0.492 0.000 0.724

Results
D(E_F) = 0.000 states/eV/cell

=====

Record 9
Cs3Mn2Br7 | GGA-PBE | relaxed

a = 5.472 Å, b = 5.472 Å, c = 28.696 Å
α = 90.00°, β = 90.00°, γ = 90.00°
Space group I4/mmm (No. 139)
Symmetry-distinct sites (fractional):
Cs 0.000 0.000 0.000
Cs 0.000 0.000 0.181
Mn 0.000 0.000 0.404
Br 0.000 0.000 0.312
Br 0.000 0.000 0.500
Br 0.000 0.500 0.093

=====

Record 10
Cs2Mn2Br5 | GGA-PBE | relaxed

a = 14.333 Å, b = 5.572 Å, c = 8.669 Å
α = 90.00°, β = 104.75°, γ = 90.00°
Space group C2/m (No. 12)
Symmetry-distinct sites (fractional):
Cs 0.092 0.000 0.311
Mn 0.161 0.500 0.900
Br 0.000 0.500 0.000
Br 0.144 0.500 0.602
Br 0.166 0.000 0.922

Results
D(E_F) = 5.435 states/eV/cell

=====

Record 11
Cs3MnBr5 | GGA-PBE | relaxed

a = 9.889 Å, b = 9.889 Å, c = 15.665 Å
α = 90.00°, β = 90.00°, γ = 90.00°
Space group I4/mcm (No. 140)
Symmetry-distinct sites (fractional):
Cs 0.000 0.000 0.250
Cs 0.164 0.336 0.000
Mn 0.000 0.500 0.250
Br 0.000 0.000 0.000
Br 0.142 0.358 0.346

Results
D(E_F) = 0.000 states/eV/cell

=====

Record 12
CsMn2MoBr | GGA-PBE | relaxed

a = 4.935 Å, b = 4.935 Å, c = 5.792 Å
α = 90.00°, β = 90.00°, γ = 90.00°
Space group P4/mmm (No. 123)
Symmetry-distinct sites (fractional):
Cs 0.000 0.000 0.000
Mn 0.000 0.500 0.500
Mo 0.500 0.500 0.500
Br 0.500 0.500 0.000

Results
D(E_F) = 4.019 states/eV/cell

=====

Record 13
CsNaMn2Br6 | GGA-PBE | relaxed

a = 14.576 Å, b = 13.390 Å, c = 7.886 Å
α = 90.00°, β = 106.31°, γ = 90.00°
Space group C2/c (No. 15)
Symmetry-distinct sites (fractional):
Cs 0.000 0.192 0.250
Na 0.000 0.403 0.750
Mn 0.216 0.092 0.780
Br 0.108 0.423 0.134
Br 0.140 0.025 0.016
Br 0.152 0.260 0.694

Results
D(E_F) = 0.000 states/eV/cell

=====

Record 14
Cs3Na3MnBr8 | GGA-PBE | relaxed

a = 8.9210 Å, b = 8.9210 Å, c = 24.7368 Å
α = 90.00°, β = 90.00°, γ = 120.00°
Space group R-3m (No. 166, hexagonal axes)
Symmetry-distinct sites (fractional):
Cs 0.0000 0.5000 0.0000
Na 0.0000 0.5000 0.5000
Mn 0.0000 0.0000 0.5000
Br 0.0000 0.0000 0.2321
Br 0.0342 0.5171 0.2276

Results
D(E_F) = 0.000 states/eV/cell

=====

Record 15
CsNaMnBr4 | GGA-PBE | relaxed

a = 7.145 Å, b = 7.792 Å, c = 9.832 Å
α = 90.00°, β = 107.40°, γ = 90.00°
Space group P2_1/m (No. 11)
Symmetry-distinct sites (fractional):
Cs 0.250 0.250 0.064
Na 0.175 0.250 0.525
Mn 0.222 0.750 0.320
Br 0.019 0.005 0.710
Br 0.353 0.750 0.112
Br 0.468 0.750 0.558

Results
D(E_F) = 0.000 states/eV/cell

=====

Record 16
Cs2NaMnBr5 | GGA-PBE | relaxed

a = 4.418 Å, b = 20.451 Å, c = 15.409 Å
α = 90.00°, β = 90.00°, γ = 90.00°
Space group Cmc2_1 (No. 36)
Symmetry-distinct sites (fractional):
Cs 0.000 0.099 0.000
Cs 0.000 0.139 0.629
Na 0.000 0.435 0.778
Mn 0.000 0.217 0.354
Br 0.000 0.088 0.388
Br 0.000 0.273 0.970
Br 0.000 0.300 0.736
Br 0.000 0.342 0.327
Br 0.000 0.499 0.122

Results
D(E_F) = 0.000 states/eV/cell

=====

Record 17
Cs2MnNbBr6 | GGA-PBE | relaxed

a = 10.928 Å, b = 10.928 Å, c = 10.928 Å
α = 90.00°, β = 90.00°, γ = 90.00°
Space group Fm-3m (No. 225)
Symmetry-distinct sites (fractional):
Cs 0.250 0.250 0.250
Mn 0.000 0.000 0.000
Nb 0.000 0.000 0.500
Br 0.000 0.000 0.248

Results
D(E_F) = 16.332 states/eV/cell

=====

Listing formation energy without anion corrections for the structures above in their given order: -1.023 -0.467 -0.549 -1.037 -1.286 -0.733 1.071 -1.417 -1.300 -1.031 -1.498 0.717 -1.149 -1.462 -1.308 -1.367 -1.057 eV per atom.